## Cs2KRbMg (PBE)

Data for Cs2KRbMg after structural relaxation.

abc: 7.799 7.799 7.335
angles: 90.00 90.00 90.00
Positions (direct):
Cs (0.000, 0.500, 0.000)
Cs (0.500, 0.000, 0.000)
K (0.000, 0.000, 0.500)
Mg (0.000, 0.000, 0.000)
Rb (0.500, 0.500, 0.500)

Properties
The space group is P4/mmm (123). The electronic total energy is -4.5 eV for the cell shown. As for the energy above the lowest structure with this stoichiometry: 0.0 kJ/mol of atoms. The calculation puts the formation energy at 0.169 eV per atom. The magnetization is 0.000 μB per formula unit.

## Nd4Tm3Tl4 (PBE)

Data for Nd4Tm3Tl4 after structural relaxation.

abc: 5.138 3.604 18.585
angles: 95.56 97.94 90.00
Positions (direct):
Nd (0.265, 0.265, 0.531)
Nd (0.093, 0.593, 0.186)
Nd (0.907, 0.407, 0.814)
Nd (0.735, 0.735, 0.469)
Tm (0.352, 0.852, 0.705)
Tm (0.648, 0.148, 0.295)
Tm (0.000, 0.000, 0.000)
Tl (0.819, 0.319, 0.639)
Tl (0.457, 0.457, 0.913)
Tl (0.543, 0.543, 0.087)
Tl (0.181, 0.681, 0.361)

Properties
The space group is Immm (71). The electronic total energy is -43.0 eV for the cell shown. The calculation puts the formation energy at -0.092 eV per atom. The magnetization is 0.000 μB per formula unit.

Question: magnetization of number 2 (Nd4Tm3Tl4)?
Answer: 0.000 μB per formula unit

Question: Number 1 is which compound?
Answer: Cs2KRbMg